LiOsAuSe3 GGA-PBE relaxed; SG = No. 63; total magnetization = 0.00 μB/f.u.; total DFT energy (no corrections) = -55.69 eV per cell
1.0
-0.8890 7.3395 -1.9839
-3.6548 6.6943 -0.6501
3.6281 2.8451 8.8997
Au Li Os Se
2 2 2 6
Direct
0.6600 0.6600 0.2500
0.3400 0.3400 0.7500
0.3084 0.3084 0.2500
0.6916 0.6916 0.7500
0.0000 0.0000 0.0000
0.0000 0.0000 0.5000
0.6323 0.6323 0.0096
0.9554 0.9554 0.2500
0.6323 0.6323 0.4904
0.3677 0.3677 0.5096
0.0446 0.0446 0.7500
0.3677 0.3677 0.9904


AcPrPO GGA-PBE relaxed; SG = No. 129; total magnetization = 0.21 μB/f.u.; energy above the most stable polymorph in this dataset = 293 meV per atom
1.0
-1.9644 3.3383 -2.5448
-4.0361 -2.2740 0.1325
-2.2508 4.4352 7.5558
Ac O P Pr
2 2 2 2
Direct
0.0000 0.0000 0.5000
0.5000 0.5000 0.5000
0.0000 0.0000 0.0000
0.5000 0.5000 0.0000
0.5000 0.0000 0.2872
0.0000 0.5000 0.7128
0.0000 0.5000 0.0917
0.5000 0.0000 0.9083


DyYCd4 GGA-PBE relaxed; SG = No. 47; total magnetization = 0.02 μB/f.u.; energy above the most stable polymorph in this dataset = 0 meV per atom; calculated formation energy = -0.338 eV per atom
1.0
-1.0188 1.7308 2.7919
-1.1282 -4.2705 2.2356
7.9365 -0.4408 3.1627
Cd Dy Y
4 1 1
Direct
0.0017 0.0027 0.1650
0.9998 0.5027 0.3310
0.0011 0.5027 0.6654
0.9997 0.0027 0.8313
0.5006 0.5028 0.9981
0.5004 0.0028 0.4981


Zn4In3 GGA-PBE relaxed; SG = No. 176; energy above the most stable polymorph in this dataset = 0 meV per atom
1.0
-3.8781 -6.9082 2.4204
3.9907 -7.2562 -0.1360
1.5001 0.7404 4.5168
In Zn
6 8
Direct
0.1224 0.2808 0.0000
0.3111 0.5510 0.0000
0.8523 0.7396 0.0000
0.4014 0.1002 0.5000
0.6715 0.6413 0.5000
0.2127 0.8300 0.5000
0.9737 0.0241 0.0000
0.5956 0.1448 0.0000
0.7162 0.4024 0.0000
0.4287 0.8572 0.0000
0.9284 0.2358 0.5000
0.5499 0.3570 0.5000
0.0953 0.5239 0.5000
0.8075 0.9785 0.5000


KZrAgTe3 GGA-PBE relaxed; SG = No. 62; total magnetization = 0.00 μB/f.u.; total DFT energy (no corrections) = -104.35 eV per cell
1.0
-5.6353 -6.0009 1.8113
3.1281 -2.1499 2.6095
-5.5673 9.6397 14.6158
Ag K Te Zr
4 4 12 4
Direct
0.9937 0.7500 0.1691
0.4937 0.7500 0.3309
0.5063 0.2500 0.6691
0.0063 0.2500 0.8308
0.6354 0.2500 0.1843
0.1354 0.2500 0.3157
0.8646 0.7500 0.6843
0.3646 0.7500 0.8157
0.6267 0.7500 0.0377
0.0039 0.2500 0.0748
0.3233 0.7500 0.1996
0.8233 0.7500 0.3004
0.5039 0.2500 0.4252
0.1267 0.7500 0.4623
0.8733 0.2500 0.5377
0.4961 0.7500 0.5748
0.1767 0.2500 0.6996
0.6767 0.2500 0.8004
0.9961 0.7500 0.9252
0.3733 0.2500 0.9623
0.2564 0.7500 0.0479
0.7564 0.7500 0.4521
0.2436 0.2500 0.5479
0.7436 0.2500 0.9521


NiPb3S6 GGA-PBE relaxed; SG = No. 148; total magnetization = 0.18 μB/f.u.; total DFT energy (no corrections) = -42.78 eV per cell
1.0
2.4946 -3.6963 5.4001
3.4571 -6.0094 -0.9915
6.8811 -0.4816 1.2105
Ni Pb S
1 3 6
Direct
0.5000 0.5000 0.5000
0.0000 0.0000 0.0000
0.2963 0.2963 0.2963
0.7037 0.7037 0.7037
0.3951 0.7076 0.1655
0.8345 0.6049 0.2924
0.7076 0.1655 0.3951
0.2924 0.8345 0.6049
0.1655 0.3951 0.7076
0.6049 0.2924 0.8345


| no. | volume (Å³ per atom) |
| --- | --- |
| 1 | 19.64 |
| 2 | 24.29 |
| 3 | 24.28 |
| 4 | 20.44 |
| 5 | 29.72 |
| 6 | 23.57 |